Computed, not measured: crystalline CeY3Tm2Se6 at its relaxed geometry at the PBE-GGA level of DFT.

Properties
**SG**: No. 12
**E_form (uncorrected)**: -1.74 eV per atom

```
CeY3Tm2Se6
1.0
8.8980 -2.0301 0.0000
8.8980 2.0301 0.0000
-1.8714 0.0000 8.0065
Ce Y Tm Se
1 3 2 6
Direct
0.0000 0.0000 0.0000
0.0000 0.0000 0.5000
0.3378 0.3378 0.1657
0.6622 0.6622 0.8343
0.3361 0.3361 0.6719
0.6639 0.6639 0.3281
0.1698 0.1698 0.5793
0.1715 0.1715 0.0904
0.4975 0.4975 0.7409
0.5025 0.5025 0.2591
0.8285 0.8285 0.9096
0.8302 0.8302 0.4207
```

---

Computed, not measured: crystalline Ce2YTmSe4 at its relaxed geometry at the PBE-GGA level of DFT.

Properties
**SG**: No. 10
**E_form (uncorrected)**: -1.78 eV per atom

```
Ce2YTmSe4
1.0
7.0899 0.0000 0.0000
0.0000 4.0799 0.0000
-2.3492 0.0000 6.8824
Ce Y Tm Se
2 1 1 4
Direct
0.0000 0.0000 0.0000
0.5000 0.5000 0.0000
0.0000 0.5000 0.5000
0.5000 0.0000 0.5000
0.2486 0.0000 0.7366
0.2584 0.5000 0.2657
0.7416 0.5000 0.7343
0.7514 0.0000 0.2634
```